No. 1
Below is a relaxed Pr2Ho3ErAs6 crystal, with properties calculated at the PBE level.

Values from the calculation:
Volume = 25.61 Å³/atom
Space-group type = C2/m
ΔE_f = -1.50 eV/atom

a b c (Å): 9.3187 9.3187 8.3352
angles (deg): 102.91 102.91 25.86
Atoms (fractional coordinates):
Pr 0.1654 0.1654 0.3315
Pr 0.8346 0.8346 0.6685
Ho 0.1673 0.1673 0.8341
Ho 0.5000 0.5000 0.5000
Ho 0.8327 0.8327 0.1659
Er 0.5000 0.5000 0.0000
As 0.0035 0.0035 0.7530
As 0.3342 0.3342 0.9261
As 0.3361 0.3361 0.4096
As 0.6639 0.6639 0.5904
As 0.6658 0.6658 0.0739
As 0.9965 0.9965 0.2470


No. 2
Below is a relaxed GdHo2Fe crystal, with properties calculated at the PBE level.

Values from the calculation:
Volume = 25.18 Å³/atom
Space-group type = P4/mmm
ΔE_f = 0.07 eV/atom

a b c (Å): 3.3507 3.3507 8.9730
angles (deg): 90.00 90.00 90.00
Atoms (fractional coordinates):
Gd 0.0000 0.0000 0.0000
Ho 0.5000 0.5000 0.3221
Ho 0.5000 0.5000 0.6779
Fe 0.0000 0.0000 0.5000


No. 3
Below is a relaxed TbFeB14 crystal, with properties calculated at the PBE level.

Values from the calculation:
Volume = 7.99 Å³/atom
Space-group type = Imma
ΔE_f = -0.16 eV/atom

a b c (Å): 7.3278 7.3278 7.3278
angles (deg): 133.06 87.40 111.26
Atoms (fractional coordinates):
Tb 0.3814 0.1314 0.2500
Tb 0.6186 0.8686 0.7500
Fe 0.0000 0.0000 0.5000
Fe 0.0000 0.5000 0.0000
B 0.0043 0.8691 0.1352
B 0.0325 0.2045 0.3314
B 0.0325 0.7011 0.8280
B 0.0804 0.6683 0.4120
B 0.2013 0.5346 0.6667
B 0.2212 0.5002 0.3990
B 0.2212 0.8222 0.7210
B 0.2338 0.8691 0.3648
B 0.2437 0.3317 0.9120
B 0.3679 0.5346 0.8333
B 0.3732 0.2045 0.6720
B 0.3732 0.7011 0.1686
B 0.3987 0.1778 0.8990
B 0.3987 0.4998 0.2210
B 0.6013 0.5002 0.7790
B 0.6013 0.8222 0.1010
B 0.6268 0.2989 0.8314
B 0.6268 0.7955 0.3280
B 0.6321 0.4654 0.1667
B 0.7563 0.6683 0.0880
B 0.7662 0.1309 0.6352
B 0.7788 0.1778 0.2790
B 0.7788 0.4998 0.6010
B 0.7987 0.4654 0.3333
B 0.9196 0.3317 0.5880
B 0.9675 0.2989 0.1720
B 0.9675 0.7955 0.6686
B 0.9957 0.1309 0.8648


No. 4
Below is a relaxed PmTh2Ni crystal, with properties calculated at the PBE level.

Values from the calculation:
Volume = 27.38 Å³/atom
Space-group type = Cmcm
ΔE_f = -0.20 eV/atom

a b c (Å): 6.2349 6.2349 9.9046
angles (deg): 90.00 90.00 145.32
Atoms (fractional coordinates):
Pm 0.0862 0.9138 0.7500
Pm 0.9138 0.0862 0.2500
Th 0.3618 0.6382 0.5591
Th 0.3618 0.6382 0.9409
Th 0.6382 0.3618 0.0591
Th 0.6382 0.3618 0.4409
Ni 0.2097 0.7903 0.2500
Ni 0.7903 0.2097 0.7500


no.,size of the total moment (μB per atom),Fermi-level density of states (states/eV/cell)
1,0.00,1.79
2,1.96,4.94
3,0.19,6.02
4,0.00,8.96